1.
Compound: NbPd3I
Source: Alexandria
Functional: PBE-GGA
Structure: optimized geometry

Cell: 4.9272 4.9272 4.9272 Å, 90.00 90.00 90.00°
With the nearest neighbours (Å) after each atom.
Space group Pm-3m (No. 221)
Symmetry-distinct sites (fractional):
Nb (0.0000, 0.0000, 0.0000) [1 per cell]  12 Pd 3.48
Pd (0.0000, 0.5000, 0.5000) [3 per cell]  2 I 2.46
I (0.5000, 0.5000, 0.5000) [1 per cell]  6 Pd 2.46

Summary:
- N(E_F) (states/eV/cell) = 4.48
- size of the total moment (μB per formula unit) = 3.79
- E (eV per atom) = -4.4013
- formation energy from raw total energies (eV per atom) = 1.04
- crystal system = cubic



2.
Compound: Sc4GaNi2Ru
Source: Alexandria
Functional: PBE-GGA
Structure: optimized geometry

Cell: 4.5671 4.5671 22.5162 Å, 90.00 90.00 120.00°
With the nearest neighbours (Å) after each atom.
Space group R-3m (No. 166, hexagonal axes)
Symmetry-distinct sites (fractional):
Sc (0.0000, 0.0000, 0.1205) [6 per cell]  1 Ru 2.71, 4 Ni 2.77-2.92, 3 Ga 2.83
Sc (0.0000, 0.0000, 0.3717) [6 per cell]  4 Ni 2.74-2.82, 3 Ru 2.77, 1 Ga 2.89
Ga (0.0000, 0.0000, 0.5000) [3 per cell]  8 Sc 2.83-2.89
Ni (0.0000, 0.0000, 0.2500) [6 per cell]  8 Sc 2.74-2.92
Ru (0.0000, 0.0000, 0.0000) [3 per cell]  8 Sc 2.71-2.77

Summary:
- N(E_F) (states/eV/cell) = 16.74
- size of the total moment (μB per formula unit) = 0.00
- E (eV per atom) = -6.7093
- crystal system = trigonal